# Ni2AgBr, relaxed, DFT PBE
# crystal system = orthorhombic
# spin magnetization = 0.5 μB per formula unit
# energy relative to the lowest polymorph listed for this composition = 0.40 eV per formula unit
# energy relative to the elements, uncorrected = 1.77 eV per formula unit
data_Ni2AgBr
_cell_length_a 3.0422
_cell_length_b 4.3177
_cell_length_c 10.7641
_cell_angle_alpha 90.00
_cell_angle_beta 90.00
_cell_angle_gamma 90.00
_symmetry_space_group_name_H-M 'I m m 2'
_symmetry_Int_Tables_number 44
loop_
_symmetry_equiv_pos_as_xyz
'x,y,z'
'-x,-y,z'
'-x,y,z'
'x,-y,z'
'x+1/2,y+1/2,z+1/2'
'-x+1/2,-y+1/2,z+1/2'
'-x+1/2,y+1/2,z+1/2'
'x+1/2,-y+1/2,z+1/2'
loop_
_atom_site_label
_atom_site_fract_x
_atom_site_fract_y
_atom_site_fract_z
Ni1 0.0000 0.0000 0.0000
Ni2 0.0000 0.5000 0.3252
Ag1 0.0000 0.5000 0.8685
Br1 0.0000 0.0000 0.6480


# NiAgBr, relaxed, DFT PBE
# crystal system = orthorhombic
# spin magnetization = 0.6 μB per formula unit
# energy relative to the lowest polymorph listed for this composition = 0.33 eV per formula unit
# energy relative to the elements, uncorrected = 1.07 eV per formula unit
data_NiAgBr
_cell_length_a 3.4625
_cell_length_b 5.5932
_cell_length_c 12.2033
_cell_angle_alpha 90.00
_cell_angle_beta 90.00
_cell_angle_gamma 90.00
_symmetry_space_group_name_H-M 'F m m 2'
_symmetry_Int_Tables_number 42
_symmetry_space_group_name_Hall 'F 2 -2'
loop_
_atom_site_label
_atom_site_fract_x
_atom_site_fract_y
_atom_site_fract_z
Ni1 0.0000 0.0000 0.0000
Ag1 0.0000 0.0000 0.6573
Br1 0.0000 0.0000 0.3671


# NiAgBr, relaxed, DFT PBE
# crystal system = trigonal
# spin magnetization = 0.0 μB per formula unit
# energy relative to the lowest polymorph listed for this composition = 0.37 eV per formula unit
# energy relative to the elements, uncorrected = 1.12 eV per formula unit
data_NiAgBr
_cell_length_a 4.1295
_cell_length_b 4.1295
_cell_length_c 3.8006
_cell_angle_alpha 90.00
_cell_angle_beta 90.00
_cell_angle_gamma 120.00
_symmetry_space_group_name_H-M 'P 3 m 1'
_symmetry_Int_Tables_number 156
loop_
_symmetry_equiv_pos_as_xyz
'x,y,z'
'-y,x-y,z'
'-x+y,-x,z'
'-y,-x,z'
'-x+y,y,z'
'x,x-y,z'
loop_
_atom_site_label
_atom_site_fract_x
_atom_site_fract_y
_atom_site_fract_z
Ni1 0.0000 0.0000 0.0000
Ag1 0.6667 0.3333 0.4844
Br1 0.3333 0.6667 0.9832


no.,density of states at the Fermi level (states/eV per cell)
1,11.3
2,12.9
3,1.5